This record from the Alexandria database describes a geometry-optimized ScMnFe2 structure. The functional is PBE.

Output
The calculated formation energy is 0.16 eV per atom. The volume is 13.3 Å³/atom. The density of states at the Fermi level is 5.18 states/eV/f.u. Its calculated density is 6.6 g cm⁻³. Its energy is -31.79 eV per cell. As for the space group: Immm. The calculation puts the total magnetization at 3.7 μB per cell.

Lattice parameters (Å, degrees): 4.9571 4.9571 4.9571 145.01 129.87 62.59
Element x y z (fractional)
Sc  0.0000  0.0000  0.0000
Mn  0.5000  0.5000  0.0000
Fe  0.2683  0.7683  0.5000
Fe  0.7317  0.2317  0.5000